Entry 1:
This record from Alexandria describes crystalline CdCo2Cl at its relaxed geometry. The functional is PBE-GGA.

Calculated values
Formation energy from raw total energies: 505 meV/atom
Energy relative to the lowest polymorph listed for this composition: 391.6 meV per atom
VASP energy: -3.7380 eV per atom
SG: No. 123

a b c (Å): 2.9566 2.9566 6.7286
angles (deg): 90.00 90.00 90.00
Atoms (fractional coordinates):
Co 0.0000 0.0000 0.5331
Co 0.0000 0.0000 0.9669
Cd 0.5000 0.5000 0.2500
Cl 0.5000 0.5000 0.7500

Entry 2:
This record from Alexandria describes crystalline CdCo2Cl at its relaxed geometry. The functional is PBE-GGA.

Calculated values
Formation energy from raw total energies: 694 meV/atom
Energy relative to the lowest polymorph listed for this composition: 580.4 meV per atom
VASP energy: -3.5492 eV per atom
SG: No. 119

a b c (Å): 5.3384 5.3384 5.3384
angles (deg): 138.97 138.97 59.42
Atoms (fractional coordinates):
Co 0.0000 0.0000 0.0000
Co 0.2500 0.7500 0.5000
Cl 0.7500 0.2500 0.5000
Cd 0.5000 0.5000 0.0000

Entry 3:
This record from Alexandria describes crystalline CdCo2Cl6 at its relaxed geometry. The functional is PBE-GGA.

Calculated values
Formation energy from raw total energies: -694 meV/atom
VASP energy: -3.6060 eV per atom
SG: No. 12

a b c (Å): 3.7957 6.4973 10.4127
angles (deg): 97.14 90.00 106.98
Atoms (fractional coordinates):
Cl 0.1115 0.2229 0.7302
Cl 0.3677 0.7355 0.5750
Cl 0.8483 0.6965 0.8759
Cl 0.8885 0.7771 0.2698
Cl 0.1517 0.3035 0.1241
Cl 0.6323 0.2645 0.4250
Co 0.2923 0.5845 0.7654
Co 0.7077 0.4155 0.2346
Cd 0.0000 0.0000 0.5000

Entry 4:
This record from Alexandria describes crystalline CdCo2Cl at its relaxed geometry. The functional is PBE-GGA.

Calculated values
Formation energy from raw total energies: 567 meV/atom
Energy relative to the lowest polymorph listed for this composition: 453.1 meV per atom
VASP energy: -3.6765 eV per atom
SG: No. 10

a b c (Å): 2.9508 5.0774 5.5558
angles (deg): 50.59 90.00 90.00
Atoms (fractional coordinates):
Co 0.0000 0.0000 0.0000
Co 0.5000 0.5000 0.0000
Cd 0.5000 0.5000 0.5000
Cl 0.0000 0.0000 0.5000

Entry 5:
This record from Alexandria describes crystalline CdCo2Cl at its relaxed geometry. The functional is PBE-GGA.

Calculated values
Formation energy from raw total energies: 602 meV/atom
Energy relative to the lowest polymorph listed for this composition: 487.9 meV per atom
VASP energy: -3.6417 eV per atom
SG: No. 47

a b c (Å): 2.9644 4.8956 4.4677
angles (deg): 90.00 90.00 90.00
Atoms (fractional coordinates):
Co 0.0000 0.0000 0.0000
Co 0.5000 0.5000 0.0000
Cd 0.5000 0.0000 0.5000
Cl 0.0000 0.5000 0.5000

Entry 6:
This record from Alexandria describes crystalline Cd2CoCl at its relaxed geometry. The functional is PBE-GGA.

Calculated values
Formation energy from raw total energies: -8 meV/atom
Energy relative to the lowest polymorph listed for this composition: 0.0 meV per atom
VASP energy: -2.7039 eV per atom
SG: No. 160

a b c (Å): 10.3357 10.3357 10.3357
angles (deg): 17.37 17.37 17.37
Atoms (fractional coordinates):
Co 0.7556 0.7556 0.7556
Cd 0.0191 0.0191 0.0191
Cd 0.2567 0.2567 0.2567
Cl 0.4686 0.4686 0.4686

Entry 7:
This record from Alexandria describes crystalline CdCo2Cl at its relaxed geometry. The functional is PBE-GGA.

Calculated values
Formation energy from raw total energies: 512 meV/atom
Energy relative to the lowest polymorph listed for this composition: 398.5 meV per atom
VASP energy: -3.7311 eV per atom
SG: No. 71

a b c (Å): 5.2048 5.2048 5.2048
angles (deg): 148.00 119.06 70.50
Atoms (fractional coordinates):
Cl 0.2500 0.7500 0.5000
Co 0.4740 0.4740 0.0000
Co 0.0260 0.0260 0.0000
Cd 0.7500 0.2500 0.5000

Entry 8:
This record from Alexandria describes crystalline Cd2CoCl at its relaxed geometry. The functional is PBE-GGA.

Calculated values
Formation energy from raw total energies: 287 meV/atom
Energy relative to the lowest polymorph listed for this composition: 294.8 meV per atom
VASP energy: -2.4091 eV per atom
SG: No. 122

a b c (Å): 7.5705 7.5705 6.1287
angles (deg): 51.86 51.86 90.00
Atoms (fractional coordinates):
Cd 0.8750 0.8952 0.7500
Cd 0.6452 0.1250 0.2500
Cd 0.3750 0.3548 0.7500
Cd 0.1048 0.6250 0.2500
Cl 0.2500 0.7500 0.5000
Cl 0.5000 0.5000 0.0000
Co 0.7500 0.2500 0.5000
Co 0.0000 0.0000 0.0000

Entry 9:
This record from Alexandria describes crystalline CdCoCl3 at its relaxed geometry. The functional is PBE-GGA.

Calculated values
Formation energy from raw total energies: 58 meV/atom
Energy relative to the lowest polymorph listed for this composition: 407.2 meV per atom
VASP energy: -2.6546 eV per atom
SG: No. 221

a b c (Å): 5.1542 5.1542 5.1542
angles (deg): 90.00 90.00 90.00
Atoms (fractional coordinates):
Co 0.5000 0.5000 0.5000
Cd 0.0000 0.0000 0.0000
Cl 0.5000 0.0000 0.0000
Cl 0.0000 0.5000 0.0000
Cl 0.0000 0.0000 0.5000

Entry 10:
This record from Alexandria describes crystalline Cd3CoCl at its relaxed geometry. The functional is PBE-GGA.

Calculated values
Formation energy from raw total energies: 965 meV/atom
Energy relative to the lowest polymorph listed for this composition: 721.1 meV per atom
VASP energy: -1.3744 eV per atom
SG: No. 221

a b c (Å): 5.2894 5.2894 5.2894
angles (deg): 90.00 90.00 90.00
Atoms (fractional coordinates):
Cl 0.0000 0.0000 0.0000
Cd 0.5000 0.0000 0.0000
Cd 0.0000 0.5000 0.0000
Cd 0.0000 0.0000 0.5000
Co 0.5000 0.5000 0.5000

Entry 11:
This record from Alexandria describes crystalline CdCo2Cl at its relaxed geometry. The functional is PBE-GGA.

Calculated values
Formation energy from raw total energies: 264 meV/atom
Energy relative to the lowest polymorph listed for this composition: 150.3 meV per atom
VASP energy: -3.9793 eV per atom
SG: No. 10

a b c (Å): 2.9538 4.1457 6.1163
angles (deg): 90.12 90.00 90.00
Atoms (fractional coordinates):
Co 0.0000 0.7508 0.4316
Co 0.0000 0.7492 0.0684
Cd 0.5000 0.2500 0.2500
Cl 0.5000 0.7500 0.7500

Entry 12:
This record from Alexandria describes crystalline Cd2CoCl2 at its relaxed geometry. The functional is PBE-GGA.

Calculated values
Formation energy from raw total energies: -110 meV/atom
Energy relative to the lowest polymorph listed for this composition: 0.0 meV per atom
VASP energy: -2.6358 eV per atom
SG: No. 127

a b c (Å): 6.1071 6.1071 6.3302
angles (deg): 90.00 90.00 90.00
Atoms (fractional coordinates):
Co 0.0000 0.0000 0.0000
Co 0.5000 0.5000 0.0000
Cl 0.8153 0.6847 0.0000
Cl 0.3153 0.8153 0.0000
Cl 0.1847 0.3153 0.0000
Cl 0.6847 0.1847 0.0000
Cd 0.3167 0.1833 0.5000
Cd 0.6833 0.8167 0.5000
Cd 0.8167 0.3167 0.5000
Cd 0.1833 0.6833 0.5000

no.,calculated density (g cm⁻³)
1,7.502
2,6.798
3,3.021
4,6.862
5,6.806
6,6.175
7,6.854
8,6.199
9,3.368
10,4.843
11,5.892
12,4.989